First-principles (PBE) data for a relaxed SmGa4Ni2Pt crystal, as listed in Alexandria.

a = 4.1633 Å, b = 4.1633 Å, c = 26.6528 Å
α = 90.00°, β = 90.00°, γ = 120.00°
With the nearest neighbours (Å) after each atom.
Space group R-3m (No. 166, hexagonal axes)
Symmetry-distinct sites (fractional):
1 Sm 0.0000 0.0000 0.0000 (multiplicity 3)  6 Ga 3.00
2 Ga 0.0000 0.0000 0.1262 (multiplicity 6)  3 Ni 2.49, 3 Pt 2.63
3 Ga 0.0000 0.0000 0.4009 (multiplicity 6)  3 Ni 2.58, 1 Pt 2.64, 3 Ga 2.87
4 Ni 0.0000 0.0000 0.2310 (multiplicity 6)  6 Ga 2.49-2.58
5 Pt 0.0000 0.0000 0.5000 (multiplicity 3)  8 Ga 2.63-2.64

E_form	-395	kJ/mol of formula units
total magnetic moment	0.0000	μB/atom



First-principles (PBE) data for a relaxed SrGa3NiPt crystal, as listed in Alexandria.

a = 6.3139 Å, b = 12.1074 Å, c = 6.4884 Å
α = 90.00°, β = 90.00°, γ = 90.00°
With the nearest neighbours (Å) after each atom.
Space group Cmcm (No. 63)
Symmetry-distinct sites (fractional):
1 Sr 0.0000 0.2468 0.2500 (multiplicity 4)  1 Ni 3.09, 4 Ga 3.24-3.35
2 Ga 0.0000 0.3141 0.7500 (multiplicity 4)  1 Ni 2.23, 1 Pt 2.38
3 Ga 0.2200 0.0000 0.0000 (multiplicity 8)  2 Ni 2.40, 2 Pt 2.57
4 Ni 0.0000 0.4982 0.7500 (multiplicity 4)  5 Ga 2.23-2.40
5 Pt 0.0000 0.1174 0.7500 (multiplicity 4)  5 Ga 2.38-2.57

E_form	-283	kJ/mol of formula units
total magnetic moment	0.0000	μB/atom



First-principles (PBE) data for a relaxed SrGa4NiPt2 crystal, as listed in Alexandria.

a = 4.2762 Å, b = 4.2762 Å, c = 27.8970 Å
α = 90.00°, β = 90.00°, γ = 120.00°
With the nearest neighbours (Å) after each atom.
Space group R-3m (No. 166, hexagonal axes)
Symmetry-distinct sites (fractional):
1 Sr 0.0000 0.0000 0.0000 (multiplicity 3)  6 Ga 3.21
2 Ga 0.0000 0.0000 0.1356 (multiplicity 6)  3 Ni 2.62, 4 Pt 2.63-2.64
3 Ga 0.0000 0.0000 0.4071 (multiplicity 6)  1 Ni 2.59, 3 Pt 2.60
4 Ni 0.0000 0.0000 0.5000 (multiplicity 3)  8 Ga 2.59-2.62
5 Pt 0.0000 0.0000 0.2302 (multiplicity 6)  7 Ga 2.60-2.64

E_form	-467	kJ/mol of formula units
total magnetic moment	0.0000	μB/atom



First-principles (PBE) data for a relaxed SrGaNiPt3 crystal, as listed in Alexandria.

a = 6.8164 Å, b = 12.1764 Å, c = 5.6728 Å
α = 90.00°, β = 90.00°, γ = 90.00°
With the nearest neighbours (Å) after each atom.
Space group Cmcm (No. 63)
Symmetry-distinct sites (fractional):
1 Sr 0.0000 0.2242 0.2500 (multiplicity 4)  1 Ni 2.97, 2 Ga 3.05, 2 Pt 3.12
2 Ga 0.0000 0.1324 0.7500 (multiplicity 4)  5 Pt 2.41-2.56
3 Ni 0.0000 0.4685 0.2500 (multiplicity 4)  5 Pt 2.45-2.49
4 Pt 0.0000 0.3306 0.7500 (multiplicity 4)  1 Ga 2.41, 1 Ni 2.45
5 Pt 0.2052 0.0000 0.0000 (multiplicity 8)  2 Ni 2.49, 2 Ga 2.56

E_form	-237	kJ/mol of formula units
total magnetic moment	0.0000	μB/atom



First-principles (PBE) data for a relaxed Sr2Ga3NiPt4 crystal, as listed in Alexandria.

a = 4.2304 Å, b = 4.2304 Å, c = 10.9040 Å
α = 90.00°, β = 90.00°, γ = 90.00°
With the nearest neighbours (Å) after each atom.
Space group P-4m2 (No. 115)
Symmetry-distinct sites (fractional):
1 Sr 0.0000 0.5000 0.2418 (multiplicity 2)  8 Pt 3.21-3.52, 6 Ga 3.29-3.38, 2 Ni 3.38
2 Ga 0.0000 0.0000 0.0000 (multiplicity 1)  4 Pt 2.58
3 Ga 0.0000 0.5000 0.6336 (multiplicity 2)  5 Pt 2.52-2.57
4 Ni 0.5000 0.5000 0.0000 (multiplicity 1)  4 Pt 2.58
5 Pt 0.0000 0.0000 0.5000 (multiplicity 1)  4 Ga 2.57
6 Pt 0.0000 0.5000 0.8651 (multiplicity 2)  3 Ga 2.52-2.58, 2 Ni 2.58
7 Pt 0.5000 0.5000 0.5000 (multiplicity 1)  4 Ga 2.57

E_form	-726	kJ/mol of formula units
total magnetic moment	0.0000	μB/atom



First-principles (PBE) data for a relaxed Ta2Ga2Ni7Pt crystal, as listed in Alexandria.

a = 4.7938 Å, b = 4.7942 Å, c = 14.7480 Å
α = 90.00°, β = 99.27°, γ = 90.00°
With the nearest neighbours (Å) after each atom.
Space group C2/m (No. 12)
Symmetry-distinct sites (fractional):
1 Ta 0.1322 0.0000 0.2670 (multiplicity 4)  5 Ni 2.53-2.67
2 Ga 0.1889 0.5000 0.3810 (multiplicity 4)  5 Ni 2.45-2.60
3 Ni 0.0000 0.0000 0.0000 (multiplicity 2)  4 Pt 2.40, 8 Ni 2.63
4 Ni 0.1815 0.2500 0.8621 (multiplicity 8)  6 Ni 2.40-2.63, 2 Ta 2.53, 2 Pt 2.63
5 Ni 0.2238 0.0000 0.4506 (multiplicity 4)  5 Ga 2.45-2.60, 1 Ta 2.67
6 Pt 0.0000 0.5000 0.0000 (multiplicity 2)  12 Ni 2.40-2.63

E_form	25	kJ/mol of formula units
total magnetic moment	0.0000	μB/atom